Density functional theory data (PBE) for an optimized crystal structure of HfZr3Rh.

Lattice parameters (Å, degrees): 5.0082 5.0082 5.0082 90.00 90.00 90.00
Fractional coordinates of all 5 atoms:
Rh  0.0000  0.0000  0.0000
Hf  0.5000  0.5000  0.5000
Zr  0.0000  0.0000  0.5000
Zr  0.5000  0.0000  0.0000
Zr  0.0000  0.5000  0.0000

Summary:
Energy of formation from the pure elements ... 0.322 eV/atom
Offset from the most stable computed form ... 0.479 eV per atom